## Al2CdW (PBE-GGA)

Data for a geometry-optimized Al2CdW structure.

Cell lengths 2.9296, 2.9296, 27.9953 Å; angles 90.00, 90.00, 120.00 degrees
Space group R-3m (No. 166, hexagonal axes)
Unique sites:
Al: 0.0000 0.0000 0.2447
Cd: 0.0000 0.0000 0.0000
W: 0.0000 0.0000 0.5000

Output
The total DFT energy (no corrections) is -5.1839 eV/atom. The formation energy comes out at 0.154 eV per atom. The magnetization comes out at 0.00 μB per atom.